1.
An optimized crystal structure of Sr2GaH. Source: Alexandria, functional PBE-GGA.

```
data_Sr2GaH
_symmetry_space_group_name_H-M 'P 4/m m m'
_symmetry_Int_Tables_number 123
_symmetry_space_group_name_Hall '-P 4 2'
_cell_length_a 3.5947
_cell_length_b 3.5947
_cell_length_c 7.9281
_cell_angle_alpha 90.00
_cell_angle_beta 90.00
_cell_angle_gamma 90.00
loop_
_atom_site_label
_atom_site_type_symbol
_atom_site_fract_x
_atom_site_fract_y
_atom_site_fract_z
Sr1 Sr 0.0000 0.0000 0.2382
Ga1 Ga 0.5000 0.5000 0.5000
H1 H 0.5000 0.5000 0.0000
```

Output
As for the total energy: -10.35 eV per cell. The density comes out at 3.99 g/cm³. The calculation puts the energy above the lowest structure with this stoichiometry at 0.090 eV per atom.

=====

2.
An optimized crystal structure of Sr6Ga3H. Source: Alexandria, functional PBE-GGA.

```
data_Sr6Ga3H
_symmetry_space_group_name_H-M 'C m c 21'
_symmetry_Int_Tables_number 36
_cell_length_a 12.3823
_cell_length_b 15.3633
_cell_length_c 7.0772
_cell_angle_alpha 90.00
_cell_angle_beta 90.00
_cell_angle_gamma 90.00
loop_
_symmetry_equiv_pos_as_xyz
'x,y,z'
'-x,-y,z+1/2'
'-x,y,z'
'x,-y,z+1/2'
'x+1/2,y+1/2,z'
'-x+1/2,-y+1/2,z+1/2'
'-x+1/2,y+1/2,z'
'x+1/2,-y+1/2,z+1/2'
loop_
_atom_site_label
_atom_site_type_symbol
_atom_site_fract_x
_atom_site_fract_y
_atom_site_fract_z
Sr1 Sr 0.0000 0.0803 0.0000
Sr2 Sr 0.0000 0.3037 0.2496
Sr3 Sr 0.1598 0.2891 0.7488
Sr4 Sr 0.2237 0.4719 0.2596
Ga1 Ga 0.0000 0.4774 0.5356
Ga2 Ga 0.1076 0.1228 0.4462
H1 H 0.0000 0.2415 0.9329
```

Output
As for the total energy: -101.36 eV per cell. The density comes out at 3.63 g/cm³.

=====

3.
An optimized crystal structure of SrGa2H6. Source: Alexandria, functional PBE-GGA.

```
data_SrGa2H6
_symmetry_space_group_name_H-M 'F m -3 m'
_symmetry_Int_Tables_number 225
_symmetry_space_group_name_Hall '-F 4 2 3'
_cell_length_a 7.4387
_cell_length_b 7.4387
_cell_length_c 7.4387
_cell_angle_alpha 90.00
_cell_angle_beta 90.00
_cell_angle_gamma 90.00
loop_
_atom_site_label
_atom_site_type_symbol
_atom_site_fract_x
_atom_site_fract_y
_atom_site_fract_z
Sr1 Sr 0.0000 0.0000 0.0000
Ga1 Ga 0.2500 0.2500 0.2500
H1 H 0.0000 0.0000 0.3682
```

Output
As for the total energy: -87.16 eV per cell. The density comes out at 3.76 g/cm³. The calculation puts the energy above the lowest structure with this stoichiometry at 0.718 eV per atom.

=====

4.
An optimized crystal structure of Sr3Ga5H12. Source: Alexandria, functional PBE-GGA.

```
data_Sr3Ga5H12
_symmetry_space_group_name_H-M 'I a -3 d'
_symmetry_Int_Tables_number 230
_symmetry_space_group_name_Hall '-I 4bd 2c 3'
_cell_length_a 13.1483
_cell_length_b 13.1483
_cell_length_c 13.1483
_cell_angle_alpha 90.00
_cell_angle_beta 90.00
_cell_angle_gamma 90.00
loop_
_atom_site_label
_atom_site_type_symbol
_atom_site_fract_x
_atom_site_fract_y
_atom_site_fract_z
Sr1 Sr 0.0000 0.2500 0.1250
Ga1 Ga 0.0000 0.0000 0.0000
Ga2 Ga 0.0000 0.2500 0.3750
H1 H 0.0459 0.0688 0.6816
```

Output
As for the total energy: -488.09 eV per cell. The density comes out at 3.64 g/cm³.

=====

5.
An optimized crystal structure of SrGaH. Source: Alexandria, functional PBE-GGA.

```
data_SrGaH
_symmetry_space_group_name_H-M 'R -3 m'
_symmetry_Int_Tables_number 166
_symmetry_space_group_name_Hall '-R 3 2"'
_cell_length_a 4.2478
_cell_length_b 4.2478
_cell_length_c 24.9819
_cell_angle_alpha 90.00
_cell_angle_beta 90.00
_cell_angle_gamma 120.00
loop_
_atom_site_label
_atom_site_type_symbol
_atom_site_fract_x
_atom_site_fract_y
_atom_site_fract_z
Sr1 Sr 0.0000 0.0000 0.0996
Ga1 Ga 0.0000 0.0000 0.3366
H1 H 0.0000 0.0000 0.1993
```

Output
As for the total energy: -56.92 eV per cell. The density comes out at 4.04 g/cm³. The calculation puts the energy above the lowest structure with this stoichiometry at 0.000 eV per atom.

=====

6.
An optimized crystal structure of SrGaH4. Source: Alexandria, functional PBE-GGA.

```
data_SrGaH4
_symmetry_space_group_name_H-M 'P n m a'
_symmetry_Int_Tables_number 62
_cell_length_a 8.8138
_cell_length_b 4.6913
_cell_length_c 7.2355
_cell_angle_alpha 90.00
_cell_angle_beta 90.00
_cell_angle_gamma 90.00
loop_
_symmetry_equiv_pos_as_xyz
'x,y,z'
'-x,-y,-z'
'-x+1/2,-y,z+1/2'
'x+1/2,y,-z+1/2'
'x+1/2,-y+1/2,-z+1/2'
'-x+1/2,y+1/2,z+1/2'
'-x,y+1/2,-z'
'x,-y+1/2,z'
loop_
_atom_site_label
_atom_site_type_symbol
_atom_site_fract_x
_atom_site_fract_y
_atom_site_fract_z
Sr1 Sr 0.0004 0.2500 0.2500
Ga1 Ga 0.2494 0.2500 0.6113
H1 H 0.0459 0.2500 0.5848
H2 H 0.0470 0.7500 0.0850
H3 H 0.2495 0.5143 0.7637
```

Output
As for the total energy: -76.60 eV per cell. The density comes out at 3.58 g/cm³. The calculation puts the energy above the lowest structure with this stoichiometry at 0.000 eV per atom.

=====

7.
An optimized crystal structure of Sr2GaH. Source: Alexandria, functional PBE-GGA.

```
data_Sr2GaH
_symmetry_space_group_name_H-M 'F m -3 m'
_symmetry_Int_Tables_number 225
_symmetry_space_group_name_Hall '-F 4 2 3'
_cell_length_a 7.5781
_cell_length_b 7.5781
_cell_length_c 7.5781
_cell_angle_alpha 90.00
_cell_angle_beta 90.00
_cell_angle_gamma 90.00
loop_
_atom_site_label
_atom_site_type_symbol
_atom_site_fract_x
_atom_site_fract_y
_atom_site_fract_z
Sr1 Sr 0.2500 0.2500 0.2500
Ga1 Ga 0.0000 0.0000 0.0000
H1 H 0.0000 0.0000 0.5000
```

Output
As for the total energy: -39.05 eV per cell. The density comes out at 3.75 g/cm³. The calculation puts the energy above the lowest structure with this stoichiometry at 0.237 eV per atom.

=====

8.
An optimized crystal structure of Sr2GaH. Source: Alexandria, functional PBE-GGA.

```
data_Sr2GaH
_symmetry_space_group_name_H-M 'I -4 2 d'
_symmetry_Int_Tables_number 122
_symmetry_space_group_name_Hall 'I -4 2bw'
_cell_length_a 7.4278
_cell_length_b 7.4278
_cell_length_c 8.2335
_cell_angle_alpha 90.00
_cell_angle_beta 90.00
_cell_angle_gamma 90.00
loop_
_atom_site_label
_atom_site_type_symbol
_atom_site_fract_x
_atom_site_fract_y
_atom_site_fract_z
Sr1 Sr 0.1677 0.2500 0.1250
Ga1 Ga 0.0000 0.0000 0.5000
H1 H 0.0000 0.0000 0.0000
```

Output
As for the total energy: -42.70 eV per cell. The density comes out at 3.60 g/cm³. The calculation puts the energy above the lowest structure with this stoichiometry at 0.008 eV per atom.